NaH2Cl: optimized geometry, PBE.

density of states at the Fermi level	1.4	states/eV/cell
crystal system	cubic
magnetic moment	0.48	μB per atom
distance to the lowest polymorph of the same formula	1.170	eV per atom
volume	235.1	Å³ per cell
calculated total energy	-2.1520	eV per atom

```
NaH2Cl
1.0
6.172 0.000 0.000
0.000 6.172 0.000
0.000 0.000 6.172
Na H Cl
4 8 4
direct
0.000 0.000 0.000 Na
0.000 0.500 0.500 Na
0.500 0.000 0.500 Na
0.500 0.500 0.000 Na
0.250 0.250 0.250 H
0.250 0.250 0.750 H
0.250 0.750 0.250 H
0.250 0.750 0.750 H
0.750 0.250 0.250 H
0.750 0.250 0.750 H
0.750 0.750 0.250 H
0.750 0.750 0.750 H
0.000 0.000 0.500 Cl
0.000 0.500 0.000 Cl
0.500 0.000 0.000 Cl
0.500 0.500 0.500 Cl
```



HfP3Br: optimized geometry, PBE.

density of states at the Fermi level	2.0	states/eV/cell
crystal system	cubic
magnetic moment	0.00	μB per atom
distance to the lowest polymorph of the same formula	0.717	eV per atom
E_form (uncorrected)	109.39	kJ/mol of atoms
volume	101.8	Å³ per cell
calculated total energy	-4.4374	eV per atom

```
HfP3Br
1.0
4.669 0.000 0.000
0.000 4.669 0.000
0.000 0.000 4.669
Hf P Br
1 3 1
direct
0.000 0.000 0.000 Hf
0.000 0.500 0.500 P
0.500 0.000 0.500 P
0.500 0.500 0.000 P
0.500 0.500 0.500 Br
```



KTiNb2: optimized geometry, PBE.

density of states at the Fermi level	28.5	states/eV/cell
crystal system	cubic
magnetic moment	0.00	μB per atom
distance to the lowest polymorph of the same formula	0.000	eV per atom
volume	330.3	Å³ per cell
calculated total energy	-5.8758	eV per atom
DFT formation energy	1.407	eV per atom

```
KTiNb2
1.0
6.913 0.000 0.000
0.000 6.913 0.000
0.000 0.000 6.913
K Ti Nb
4 4 8
direct
0.000 0.000 0.000 K
0.000 0.500 0.500 K
0.500 0.000 0.500 K
0.500 0.500 0.000 K
0.000 0.000 0.500 Ti
0.000 0.500 0.000 Ti
0.500 0.000 0.000 Ti
0.500 0.500 0.500 Ti
0.250 0.250 0.250 Nb
0.250 0.250 0.750 Nb
0.250 0.750 0.250 Nb
0.250 0.750 0.750 Nb
0.750 0.250 0.250 Nb
0.750 0.250 0.750 Nb
0.750 0.750 0.250 Nb
0.750 0.750 0.750 Nb
```



MnNiCl: optimized geometry, PBE.

density of states at the Fermi level	2.0	states/eV/cell
crystal system	monoclinic
magnetic moment	1.64	μB per atom
distance to the lowest polymorph of the same formula	0.030	eV per atom
E_form (uncorrected)	-22.87	kJ/mol of atoms
volume	109.9	Å³ per cell
calculated total energy	-5.8362	eV per atom

```
MnNiCl
1.0
3.824 0.000 0.000
0.000 3.457 0.000
-1.895 0.000 8.313
Mn Ni Cl
2 2 2
direct
0.063 0.250 0.127 Mn
0.937 0.750 0.873 Mn
0.449 0.250 0.897 Ni
0.551 0.750 0.103 Ni
0.343 0.750 0.683 Cl
0.657 0.250 0.317 Cl
```



Tb3In: optimized geometry, PBE.

density of states at the Fermi level	6.8	states/eV/cell
crystal system	orthorhombic
magnetic moment	0.00	μB per atom
volume	234.3	Å³ per cell
calculated total energy	-4.3890	eV per atom
DFT formation energy	-0.232	eV per atom

```
Tb3In
1.0
3.506 0.000 0.000
0.000 11.158 0.000
0.000 0.000 5.991
Tb In
6 2
direct
0.000 0.000 0.000 Tb
0.000 0.230 0.365 Tb
0.000 0.770 0.365 Tb
0.500 0.270 0.865 Tb
0.500 0.500 0.500 Tb
0.500 0.730 0.865 Tb
0.000 0.500 0.034 In
0.500 0.000 0.534 In
```



Th3Zn3Cu2: optimized geometry, PBE.

density of states at the Fermi level	33.1	states/eV/cell
crystal system	orthorhombic
magnetic moment	0.00	μB per atom
distance to the lowest polymorph of the same formula	0.018	eV per atom
volume	685.7	Å³ per cell
calculated total energy	-4.4677	eV per atom
DFT formation energy	-0.183	eV per atom

```
Th3Zn3Cu2
1.0
8.182 0.000 0.000
0.000 15.058 0.000
0.000 0.000 5.565
Th Zn Cu
12 12 8
direct
0.046 0.111 0.123 Th
0.046 0.389 0.123 Th
0.183 0.250 0.617 Th
0.317 0.750 0.117 Th
0.454 0.611 0.623 Th
0.454 0.889 0.623 Th
0.546 0.111 0.377 Th
0.546 0.389 0.377 Th
0.683 0.250 0.883 Th
0.817 0.750 0.383 Th
0.954 0.611 0.877 Th
0.954 0.889 0.877 Th
0.166 0.750 0.613 Zn
0.184 0.034 0.610 Zn
0.184 0.466 0.610 Zn
0.316 0.534 0.110 Zn
0.316 0.966 0.110 Zn
0.334 0.250 0.113 Zn
0.666 0.750 0.887 Zn
0.684 0.034 0.890 Zn
0.684 0.466 0.890 Zn
0.816 0.534 0.390 Zn
0.816 0.966 0.390 Zn
0.834 0.250 0.387 Zn
0.102 0.605 0.372 Cu
0.102 0.895 0.372 Cu
0.398 0.105 0.872 Cu
0.398 0.395 0.872 Cu
0.602 0.605 0.128 Cu
0.602 0.895 0.128 Cu
0.898 0.105 0.628 Cu
0.898 0.395 0.628 Cu
```



PaBeGe2: optimized geometry, PBE.

density of states at the Fermi level	13.2	states/eV/cell
crystal system	trigonal
magnetic moment	0.00	μB per atom
distance to the lowest polymorph of the same formula	0.090	eV per atom
volume	217.0	Å³ per cell
calculated total energy	-5.7124	eV per atom
DFT formation energy	-0.098	eV per atom

```
PaBeGe2
1.0
4.169 0.000 0.000
-2.085 3.611 0.000
0.000 0.000 14.416
Pa Be Ge
3 3 6
direct
0.000 0.000 0.000 Pa
0.333 0.667 0.667 Pa
0.667 0.333 0.333 Pa
0.000 0.000 0.500 Be
0.333 0.667 0.167 Be
0.667 0.333 0.833 Be
0.000 0.000 0.216 Ge
0.000 0.000 0.784 Ge
0.333 0.667 0.451 Ge
0.333 0.667 0.882 Ge
0.667 0.333 0.118 Ge
0.667 0.333 0.549 Ge
```



CsZnHg: optimized geometry, PBE.

density of states at the Fermi level	7.3	states/eV/cell
crystal system	orthorhombic
magnetic moment	0.00	μB per atom
distance to the lowest polymorph of the same formula	0.025	eV per atom
volume	477.2	Å³ per cell
calculated total energy	-0.8702	eV per atom
DFT formation energy	-0.060	eV per atom

```
CsZnHg
1.0
8.826 0.000 0.000
0.000 5.010 0.000
0.000 0.000 10.791
Cs Zn Hg
4 4 4
direct
0.000 0.250 0.190 Cs
0.000 0.750 0.810 Cs
0.500 0.250 0.310 Cs
0.500 0.750 0.690 Cs
0.156 0.250 0.552 Zn
0.344 0.750 0.052 Zn
0.656 0.250 0.948 Zn
0.844 0.750 0.448 Zn
0.175 0.750 0.439 Hg
0.325 0.250 0.939 Hg
0.675 0.750 0.061 Hg
0.825 0.250 0.561 Hg
```



Ce2TiTl: optimized geometry, PBE.

density of states at the Fermi level	9.0	states/eV/cell
crystal system	tetragonal
magnetic moment	0.33	μB per atom
distance to the lowest polymorph of the same formula	0.000	eV per atom
volume	95.5	Å³ per cell
calculated total energy	-5.5430	eV per atom
DFT formation energy	-0.011	eV per atom

```
Ce2TiTl
1.0
4.365 0.000 0.000
0.000 4.365 0.000
0.000 0.000 5.011
Ce Ti Tl
2 1 1
direct
0.000 0.500 0.000 Ce
0.500 0.000 0.000 Ce
0.000 0.000 0.500 Ti
0.500 0.500 0.500 Tl
```



BaMg2Tl3: optimized geometry, PBE.

density of states at the Fermi level	5.6	states/eV/cell
crystal system	orthorhombic
magnetic moment	0.00	μB per atom
distance to the lowest polymorph of the same formula	0.011	eV per atom
volume	370.8	Å³ per cell
calculated total energy	-2.2197	eV per atom
DFT formation energy	-0.185	eV per atom

```
BaMg2Tl3
1.0
6.074 -4.864 0.000
6.074 4.864 0.000
0.000 0.000 6.274
Ba Mg Tl
2 4 6
direct
0.172 0.828 0.750 Ba
0.828 0.172 0.250 Ba
0.282 0.282 0.000 Mg
0.282 0.282 0.500 Mg
0.718 0.718 0.000 Mg
0.718 0.718 0.500 Mg
0.048 0.607 0.250 Tl
0.393 0.952 0.250 Tl
0.465 0.535 0.250 Tl
0.535 0.465 0.750 Tl
0.607 0.048 0.750 Tl
0.952 0.393 0.750 Tl
```



Y3Bi: optimized geometry, PBE.

density of states at the Fermi level	47.1	states/eV/cell
crystal system	tetragonal
magnetic moment	0.07	μB per atom
volume	998.9	Å³ per cell
calculated total energy	-6.2704	eV per atom
DFT formation energy	-0.452	eV per atom

```
Y3Bi
1.0
12.605 0.000 0.000
0.000 12.605 0.000
0.000 0.000 6.287
Y Bi
24 8
direct
0.036 0.573 0.238 Y
0.073 0.964 0.738 Y
0.104 0.220 0.034 Y
0.142 0.667 0.716 Y
0.167 0.858 0.216 Y
0.220 0.396 0.466 Y
0.280 0.104 0.466 Y
0.333 0.642 0.216 Y
0.358 0.833 0.716 Y
0.396 0.280 0.034 Y
0.427 0.536 0.738 Y
0.464 0.927 0.238 Y
0.536 0.073 0.762 Y
0.573 0.464 0.262 Y
0.604 0.720 0.966 Y
0.642 0.167 0.284 Y
0.667 0.358 0.784 Y
0.720 0.896 0.534 Y
0.780 0.604 0.534 Y
0.833 0.142 0.784 Y
0.858 0.333 0.284 Y
0.896 0.780 0.966 Y
0.927 0.036 0.262 Y
0.964 0.427 0.762 Y
0.050 0.208 0.539 Bi
0.208 0.450 0.961 Bi
0.292 0.050 0.961 Bi
0.450 0.292 0.539 Bi
0.550 0.708 0.461 Bi
0.708 0.950 0.039 Bi
0.792 0.550 0.039 Bi
0.950 0.792 0.461 Bi
```



Sm2DyY4Ho2: optimized geometry, PBE.

density of states at the Fermi level	12.4	states/eV/cell
crystal system	monoclinic
magnetic moment	0.00	μB per atom
volume	290.7	Å³ per cell
calculated total energy	-5.4448	eV per atom
DFT formation energy	0.005	eV per atom

```
Sm2DyY4Ho2
1.0
9.354 -1.801 0.000
9.354 1.801 0.000
-4.163 0.000 8.624
Sm Dy Y Ho
2 1 4 2
direct
0.148 0.148 0.167 Sm
0.852 0.852 0.833 Sm
0.000 0.000 0.500 Dy
0.185 0.185 0.832 Y
0.481 0.481 0.168 Y
0.519 0.519 0.832 Y
0.815 0.815 0.168 Y
0.333 0.333 0.500 Ho
0.667 0.667 0.500 Ho
```



EuLuRhAu: optimized geometry, PBE.

density of states at the Fermi level	37.9	states/eV/cell
crystal system	cubic
magnetic moment	1.75	μB per atom
volume	350.6	Å³ per cell
calculated total energy	-7.0351	eV per atom
DFT formation energy	-0.679	eV per atom

```
EuLuRhAu
1.0
7.051 0.000 0.000
0.000 7.051 0.000
0.000 0.000 7.051
Eu Lu Rh Au
4 4 4 4
direct
0.000 0.000 0.000 Eu
0.000 0.500 0.500 Eu
0.500 0.000 0.500 Eu
0.500 0.500 0.000 Eu
0.000 0.000 0.500 Lu
0.000 0.500 0.000 Lu
0.500 0.000 0.000 Lu
0.500 0.500 0.500 Lu
0.250 0.250 0.750 Rh
0.250 0.750 0.250 Rh
0.750 0.250 0.250 Rh
0.750 0.750 0.750 Rh
0.250 0.250 0.250 Au
0.250 0.750 0.750 Au
0.750 0.250 0.750 Au
0.750 0.750 0.250 Au
```



NiAg3: optimized geometry, PBE.

density of states at the Fermi level	5.9	states/eV/cell
crystal system	cubic
magnetic moment	0.09	μB per atom
volume	116.1	Å³ per cell
calculated total energy	-2.5497	eV per atom
DFT formation energy	1.034	eV per atom

```
NiAg3
1.0
4.879 0.000 0.000
0.000 4.879 0.000
0.000 0.000 4.879
Ni Ag
1 3
direct
0.000 0.000 0.000 Ni
0.000 0.000 0.500 Ag
0.000 0.500 0.000 Ag
0.500 0.000 0.000 Ag
```



HoGeIr: optimized geometry, PBE.

density of states at the Fermi level	1.6	states/eV/cell
crystal system	hexagonal
magnetic moment	0.00	μB per atom
volume	57.1	Å³ per cell
calculated total energy	-6.8349	eV per atom
DFT formation energy	-0.816	eV per atom

```
HoGeIr
1.0
4.421 0.000 0.000
-2.210 3.828 0.000
0.000 0.000 3.373
Ho Ge Ir
1 1 1
direct
0.000 0.000 0.000 Ho
0.333 0.667 0.500 Ge
0.667 0.333 0.500 Ir
```



Mg3Ga2Cl8: optimized geometry, PBE.

density of states at the Fermi level	0.0	states/eV/cell
crystal system	monoclinic
magnetic moment	0.00	μB per atom
E_form (uncorrected)	-143.72	kJ/mol of atoms
volume	348.9	Å³ per cell
calculated total energy	-3.4596	eV per atom

```
Mg3Ga2Cl8
1.0
7.520 -3.757 0.000
7.520 3.757 0.000
-1.979 0.000 6.175
Mg Ga Cl
3 2 8
direct
0.000 0.000 0.000 Mg
0.256 0.744 0.500 Mg
0.744 0.256 0.500 Mg
0.289 0.289 0.850 Ga
0.711 0.711 0.150 Ga
0.095 0.095 0.398 Cl
0.135 0.670 0.108 Cl
0.330 0.865 0.892 Cl
0.398 0.398 0.561 Cl
0.602 0.602 0.439 Cl
0.670 0.135 0.108 Cl
0.865 0.330 0.892 Cl
0.905 0.905 0.602 Cl
```



TiFeTcW: optimized geometry, PBE.

density of states at the Fermi level	12.8	states/eV/cell
crystal system	cubic
magnetic moment	0.17	μB per atom
volume	228.7	Å³ per cell
calculated total energy	-10.1375	eV per atom
DFT formation energy	-0.218	eV per atom

```
TiFeTcW
1.0
6.115 0.000 0.000
0.000 6.115 0.000
0.000 0.000 6.115
Ti Fe Tc W
4 4 4 4
direct
0.000 0.000 0.000 Ti
0.000 0.500 0.500 Ti
0.500 0.000 0.500 Ti
0.500 0.500 0.000 Ti
0.250 0.250 0.750 Fe
0.250 0.750 0.250 Fe
0.750 0.250 0.250 Fe
0.750 0.750 0.750 Fe
0.250 0.250 0.250 Tc
0.250 0.750 0.750 Tc
0.750 0.250 0.750 Tc
0.750 0.750 0.250 Tc
0.000 0.000 0.500 W
0.000 0.500 0.000 W
0.500 0.000 0.000 W
0.500 0.500 0.500 W
```



LiAc4Pr: optimized geometry, PBE.

density of states at the Fermi level	10.1	states/eV/cell
crystal system	tetragonal
magnetic moment	0.00	μB per atom
distance to the lowest polymorph of the same formula	0.000	eV per atom
volume	237.3	Å³ per cell
calculated total energy	-3.8171	eV per atom
DFT formation energy	0.037	eV per atom

```
LiAc4Pr
1.0
3.964 0.000 0.000
0.000 3.964 0.000
0.000 0.000 15.100
Li Ac Pr
1 4 1
direct
0.000 0.000 0.000 Li
0.000 0.000 0.327 Ac
0.000 0.000 0.673 Ac
0.500 0.500 0.142 Ac
0.500 0.500 0.858 Ac
0.500 0.500 0.500 Pr
```



Na2PbAu2: optimized geometry, PBE.

density of states at the Fermi level	3.6	states/eV/cell
crystal system	monoclinic
magnetic moment	0.00	μB per atom
distance to the lowest polymorph of the same formula	0.031	eV per atom
volume	254.5	Å³ per cell
calculated total energy	-2.8228	eV per atom
DFT formation energy	-0.243	eV per atom

```
Na2PbAu2
1.0
9.891 0.000 0.000
0.000 6.416 0.000
-1.993 0.000 4.010
Na Pb Au
4 2 4
direct
0.199 0.000 0.199 Na
0.301 0.500 0.801 Na
0.699 0.500 0.199 Na
0.801 0.000 0.801 Na
0.000 0.500 0.000 Pb
0.500 0.000 0.000 Pb
0.000 0.214 0.500 Au
0.000 0.786 0.500 Au
0.500 0.286 0.500 Au
0.500 0.714 0.500 Au
```



PO: optimized geometry, PBE.

crystal system	tetragonal
magnetic moment	0.50	μB per atom
distance to the lowest polymorph of the same formula	0.590	eV per atom
E_form (uncorrected)	-46.45	kJ/mol of atoms
volume	207.5	Å³ per cell
calculated total energy	-5.6655	eV per atom

```
PO
1.0
8.916 0.000 0.000
0.000 8.916 0.000
0.000 0.000 2.610
P O
4 4
direct
0.227 0.227 0.000 P
0.273 0.727 0.500 P
0.727 0.273 0.500 P
0.773 0.773 0.000 P
0.142 0.142 0.500 O
0.358 0.642 0.000 O
0.642 0.358 0.000 O
0.858 0.858 0.500 O
```